Entry 1:
Below is an optimized crystal structure of CsThTe3Pd, with properties calculated at the PBE level.

- total DFT energy (no corrections) (eV per cell) = -58.04
- magnetization (μB/atom) = 0.0000
- formation energy without anion corrections (eV per atom) = -1.022

Unit cell a=4.3379 b=9.3621 c=11.3486 alpha=90.00 beta=90.00 gamma=103.40
Atoms (fractional coordinates):
Te 0.9273 0.8545 0.2500
Te 0.6183 0.2365 0.0676
Te 0.0727 0.1455 0.7500
Te 0.3817 0.7635 0.9324
Cs 0.7490 0.4980 0.7500
Th 0.0000 0.0000 0.5000
Th 0.0000 0.0000 0.0000
Te 0.6183 0.2365 0.4324
Pd 0.5190 0.0380 0.2500
Te 0.3817 0.7635 0.5676
Pd 0.4810 0.9620 0.7500
Cs 0.2510 0.5020 0.2500

***

Entry 2:
Below is an optimized crystal structure of TcHg3Pt, with properties calculated at the PBE level.

- total DFT energy (no corrections) (eV per cell) = -10.85
- magnetization (μB/atom) = 0.5882
- calculated formation energy (eV/atom) = 1.292
- E above lowest polymorph (meV/atom) = 288

Unit cell a=5.2261 b=5.2261 c=5.2261 alpha=90.00 beta=90.00 gamma=90.00
Last column: magnetic moment on the atom in μB.
Atoms (fractional coordinates):
Tc 0.0000 0.0000 0.0000  2.12
Pt 0.5000 0.5000 0.5000  0.40
Hg 0.5000 0.0000 0.0000  0.01
Hg 0.0000 0.0000 0.5000  0.06
Hg 0.0000 0.5000 0.0000  0.04

***

Entry 3:
Below is an optimized crystal structure of Pr12Ho7Sc, with properties calculated at the PBE level.

- total DFT energy (no corrections) (eV per cell) = -92.79
- magnetization (μB/atom) = 0.0000
- calculated formation energy (eV/atom) = 0.147
- E above lowest polymorph (meV/atom) = 0

Unit cell a=9.4365 b=9.4365 c=9.4365 alpha=107.77 beta=107.77 gamma=107.77
Atoms (fractional coordinates):
Pr 0.9429 0.7058 0.5962
Ho 0.5000 0.5000 0.5000
Pr 0.0571 0.2942 0.4038
Ho 0.0056 0.8991 0.3140
Pr 0.5962 0.9429 0.7058
Pr 0.7809 0.3229 0.6182
Pr 0.7058 0.5962 0.9429
Ho 0.6860 0.9944 0.1009
Sc 0.0000 0.0000 0.0000
Pr 0.3229 0.6182 0.7809
Ho 0.1009 0.6860 0.9944
Pr 0.6182 0.7809 0.3229
Ho 0.9944 0.1009 0.6860
Pr 0.2191 0.6771 0.3818
Pr 0.3818 0.2191 0.6771
Ho 0.3140 0.0056 0.8991
Pr 0.4038 0.0571 0.2942
Pr 0.6771 0.3818 0.2191
Pr 0.2942 0.4038 0.0571
Ho 0.8991 0.3140 0.0056

***

Entry 4:
Below is an optimized crystal structure of Er3Ge13Os4, with properties calculated at the PBE level.

- total DFT energy (no corrections) (eV per cell) = -250.59
- magnetization (μB/atom) = 0.0000
- calculated formation energy (eV/atom) = -0.333

Unit cell a=9.0500 b=9.0500 c=9.0500 alpha=90.00 beta=90.00 gamma=90.00
Atoms (fractional coordinates):
Ge 0.0000 0.8551 0.2989
Er 0.0000 0.5000 0.2500
Ge 0.3551 0.5000 0.7989
Ge 0.2989 0.0000 0.8551
Ge 0.0000 0.1449 0.2989
Ge 0.0000 0.1449 0.7011
Ge 0.5000 0.7989 0.3551
Er 0.2500 0.0000 0.5000
Os 0.7500 0.2500 0.7500
Ge 0.0000 0.0000 0.0000
Ge 0.2989 0.0000 0.1449
Ge 0.1449 0.2989 0.0000
Ge 0.3551 0.5000 0.2011
Os 0.7500 0.7500 0.2500
Er 0.5000 0.7500 0.0000
Ge 0.7989 0.3551 0.5000
Ge 0.7011 0.0000 0.1449
Ge 0.2011 0.6449 0.5000
Ge 0.7011 0.0000 0.8551
Os 0.2500 0.7500 0.2500
Ge 0.2011 0.3551 0.5000
Ge 0.5000 0.2011 0.6449
Os 0.2500 0.2500 0.2500
Ge 0.8551 0.2989 0.0000
Ge 0.5000 0.5000 0.5000
Os 0.7500 0.2500 0.2500
Ge 0.8551 0.7011 0.0000
Ge 0.0000 0.8551 0.7011
Os 0.2500 0.7500 0.7500
Ge 0.1449 0.7011 0.0000
Er 0.7500 0.0000 0.5000
Ge 0.6449 0.5000 0.2011
Ge 0.5000 0.7989 0.6449
Er 0.0000 0.5000 0.7500
Ge 0.7989 0.6449 0.5000
Er 0.5000 0.2500 0.0000
Os 0.2500 0.2500 0.7500
Ge 0.6449 0.5000 0.7989
Os 0.7500 0.7500 0.7500
Ge 0.5000 0.2011 0.3551

***

Entry 5:
Below is an optimized crystal structure of BaPaP, with properties calculated at the PBE level.

- total DFT energy (no corrections) (eV per cell) = -34.93
- magnetization (μB/atom) = 0.0012
- calculated formation energy (eV/atom) = -0.212

Unit cell a=4.2982 b=4.2857 c=13.7266 alpha=90.00 beta=90.00 gamma=120.10
Atoms (fractional coordinates):
P 0.6111 0.2222 0.0000
Ba 0.6119 0.2238 0.6368
Ba 0.6119 0.2238 0.3632
Pa 0.2769 0.5538 0.9066
P 0.2780 0.5559 0.5000
Pa 0.2769 0.5538 0.0934

***

Entry 6:
Below is an optimized crystal structure of CuPdBr6, with properties calculated at the PBE level.

- total DFT energy (no corrections) (eV per cell) = -20.36
- magnetization (μB/atom) = 0.0021
- E above lowest polymorph (meV/atom) = 71
- formation energy without anion corrections (eV per atom) = -0.130

Unit cell a=6.6314 b=6.6285 c=6.7866 alpha=60.76 beta=60.72 gamma=59.98
Atoms (fractional coordinates):
Br 0.7436 0.1080 0.7548
Br 0.3934 0.7437 0.7549
Br 0.6066 0.2563 0.2451
Br 0.2564 0.8920 0.2452
Br 0.1080 0.3935 0.7547
Pd 0.5000 0.5000 0.5000
Br 0.8920 0.6065 0.2453
Cu 0.0000 0.0000 0.0000

***

Entry 7:
Below is an optimized crystal structure of SiMoCl2, with properties calculated at the PBE level.

- total DFT energy (no corrections) (eV per cell) = -18.18
- magnetization (μB/atom) = 0.5417
- E above lowest polymorph (meV/atom) = 780
- formation energy without anion corrections (eV per atom) = 0.442

Unit cell a=5.3358 b=5.3358 c=3.3051 alpha=71.90 beta=71.90 gamma=113.33
Last column: magnetic moment on the atom in μB.
Atoms (fractional coordinates):
Cl 0.0000 0.0000 0.0000  0.02
Mo 0.5000 0.0000 0.5000  1.91
Cl 0.5000 0.5000 0.0000  0.02
Si 0.0000 0.5000 0.5000  -0.03

***

Entry 8:
Below is an optimized crystal structure of SrTlOs2, with properties calculated at the PBE level.

- total DFT energy (no corrections) (eV per cell) = -22.11
- magnetization (μB/atom) = 0.4787
- calculated formation energy (eV/atom) = 1.099
- E above lowest polymorph (meV/atom) = 816

Unit cell a=4.8649 b=4.8649 c=4.8649 alpha=120.18 beta=120.18 gamma=89.68
Last column: magnetic moment on the atom in μB.
Atoms (fractional coordinates):
Os 0.0000 0.0000 0.0000  0.55
Tl 0.7500 0.2500 0.5000  0.00
Os 0.2500 0.7500 0.5000  1.25
Sr 0.5000 0.5000 0.0000  0.01

***

Entry 9:
Below is an optimized crystal structure of LaZrN2F, with properties calculated at the PBE level.

- total DFT energy (no corrections) (eV per cell) = -40.81
- magnetization (μB/atom) = 0.0000
- E above lowest polymorph (meV/atom) = 0
- formation energy without anion corrections (eV per atom) = -1.763

Unit cell a=4.3319 b=4.3319 c=4.0894 alpha=90.00 beta=90.00 gamma=90.00
Atoms (fractional coordinates):
La 0.5000 0.5000 0.5000
N 0.5000 0.0000 0.0000
N 0.0000 0.5000 0.0000
Zr 0.0000 0.0000 0.0000
F 0.0000 0.0000 0.5000

***

Entry 10:
Below is an optimized crystal structure of BC2, with properties calculated at the PBE level.

- total DFT energy (no corrections) (eV per cell) = -96.70
- magnetization (μB/atom) = 0.0000
- calculated formation energy (eV/atom) = 0.317
- E above lowest polymorph (meV/atom) = 77

Unit cell a=6.0264 b=6.0264 c=3.6102 alpha=90.49 beta=90.49 gamma=144.08
Atoms (fractional coordinates):
B 0.8194 0.1353 0.4804
C 0.4905 0.4903 0.5074
B 0.9793 0.5207 0.7500
C 0.0097 0.0095 0.9926
C 0.3332 0.1668 0.7500
B 0.3647 0.6806 0.0196
C 0.4881 0.0119 0.2500
B 0.8355 0.6645 0.2500
C 0.6762 0.8238 0.7500
C 0.1760 0.3240 0.2500
C 0.6426 0.3150 0.9980
C 0.1850 0.8574 0.5020

***

Entry 11:
Below is an optimized crystal structure of Pm12BiPd6, with properties calculated at the PBE level.

- total DFT energy (no corrections) (eV per cell) = -99.97
- magnetization (μB/atom) = 0.0000
- calculated formation energy (eV/atom) = -0.417

Unit cell a=8.6933 b=8.6933 c=8.6933 alpha=101.56 beta=101.56 gamma=101.56
Atoms (fractional coordinates):
Bi 0.0000 0.0000 0.0000
Pm 0.4327 0.8229 0.5917
Pm 0.1771 0.4083 0.5673
Pm 0.9090 0.0746 0.6615
Pm 0.6615 0.9090 0.0746
Pd 0.3894 0.6683 0.8584
Pd 0.1416 0.6106 0.3317
Pd 0.3317 0.1416 0.6106
Pm 0.9254 0.3385 0.0910
Pm 0.0910 0.9254 0.3385
Pd 0.6683 0.8584 0.3894
Pm 0.0746 0.6615 0.9090
Pm 0.5673 0.1771 0.4083
Pd 0.6106 0.3317 0.1416
Pm 0.4083 0.5673 0.1771
Pd 0.8584 0.3894 0.6683
Pm 0.5917 0.4327 0.8229
Pm 0.8229 0.5917 0.4327
Pm 0.3385 0.0910 0.9254

***

Entry 12:
Below is an optimized crystal structure of InGa4Cu15, with properties calculated at the PBE level.

- total DFT energy (no corrections) (eV per cell) = -77.67
- magnetization (μB/atom) = 0.0000
- calculated formation energy (eV/atom) = -0.069

Unit cell a=3.7289 b=3.7289 c=18.7064 alpha=90.00 beta=90.00 gamma=90.00
Atoms (fractional coordinates):
Ga 0.0000 0.0000 0.5976
Cu 0.5000 0.5000 0.0000
In 0.0000 0.0000 0.0000
Cu 0.0000 0.5000 0.3043
Cu 0.0000 0.5000 0.8916
Cu 0.0000 0.5000 0.6957
Cu 0.0000 0.5000 0.5000
Cu 0.5000 0.0000 0.8916
Cu 0.5000 0.0000 0.6957
Cu 0.5000 0.5000 0.2068
Cu 0.5000 0.5000 0.7932
Ga 0.0000 0.0000 0.2055
Cu 0.0000 0.5000 0.1084
Cu 0.5000 0.0000 0.5000
Cu 0.5000 0.0000 0.1084
Ga 0.0000 0.0000 0.7945
Ga 0.0000 0.0000 0.4024
Cu 0.5000 0.5000 0.5978
Cu 0.5000 0.0000 0.3043
Cu 0.5000 0.5000 0.4022